# Ce6MgTc2

A relaxed Ce6MgTc2 crystal (GGA-PBE, Alexandria via LeMat-Bulk).

The space group is C2/m (No. 12) and the conventional cell measures 10.188, 5.058 and 8.833 Å, with angles of 90.00, 97.32 and 90.00 degrees. The inequivalent atoms are Ce at (0.050, 0.000, 0.365), Ce at (0.109, 0.500, 0.674), Ce at (0.198, 0.500, 0.119), Mg at (0.000, 0.000, 0.000) and Tc at (0.229, 0.500, 0.385).

The formation energy comes out at -0.082 eV per atom.


# CeMgTc

A relaxed CeMgTc crystal (GGA-PBE, Alexandria via LeMat-Bulk).

The space group is P2_1/m (No. 11) and the conventional cell measures 5.045, 4.908 and 5.644 Å, with angles of 90.00, 101.36 and 90.00 degrees. The inequivalent atoms are Ce at (0.051, 0.250, 0.304), Mg at (0.473, 0.250, 0.856) and Tc at (0.367, 0.750, 0.600).

As for the energy relative to the lowest polymorph listed for this composition: 0.000 eV/atom. The formation energy comes out at -0.101 eV per atom.